1.
# Ca3B3N5

A geometry-optimized Ca3B3N5 structure (PBE-GGA, Alexandria).

a = 5.628 Å, b = 6.248 Å, c = 7.817 Å
α = 110.24°, β = 110.89°, γ = 89.38°
Sites, in units of the cell vectors:
B  0.041  0.326  0.974
N  0.126  0.519  0.912
Ca  0.779  0.149  0.141
N  0.182  0.951  0.599
Ca  0.221  0.851  0.859
B  0.109  0.038  0.427
N  0.729  0.738  0.549
Ca  0.419  0.311  0.791
N  0.271  0.262  0.451
Ca  0.759  0.391  0.604
Ca  0.241  0.609  0.396
N  0.298  0.238  0.113
N  0.702  0.762  0.887
Ca  0.581  0.689  0.209
B  0.267  0.134  0.251
B  0.891  0.962  0.573
N  0.874  0.481  0.088
N  0.149  0.895  0.212
N  0.818  0.049  0.401
B  0.959  0.674  0.026
N  0.851  0.105  0.788
B  0.733  0.866  0.749

Space group = P-1 (2)
Formation energy (no corrections) = -0.960 eV/atom
Final energy = -7.11 eV per atom
N(E_F) = 0.000 states/eV/cell


2.
# CsBPb

A geometry-optimized CsBPb structure (PBE-GGA, Alexandria).

a = 7.615 Å, b = 4.065 Å, c = 13.900 Å
α = 90.00°, β = 90.00°, γ = 90.00°
Sites, in units of the cell vectors:
B  0.509  0.250  0.605
B  0.009  0.250  0.895
Pb  0.157  0.750  0.946
B  0.491  0.750  0.395
Cs  0.150  0.750  0.666
Pb  0.657  0.750  0.554
Pb  0.843  0.250  0.054
Cs  0.850  0.250  0.334
Cs  0.350  0.250  0.166
Pb  0.343  0.250  0.446
B  0.991  0.750  0.105
Cs  0.650  0.750  0.834

Space group = Pnma (62)
Energy of formation from the pure elements = 733 meV/atom
Final energy = -3.01 eV per atom
N(E_F) = 7.337 states/eV/cell


3.
# Pu4Se3Cl

A geometry-optimized Pu4Se3Cl structure (PBE-GGA, Alexandria).

a = 5.834 Å, b = 5.834 Å, c = 7.138 Å
α = 114.12°, β = 114.12°, γ = 90.00°
Each line ends with the local moment (μB).
Sites, in units of the cell vectors:
Pu  0.250  0.250  0.499  5.52
Pu  0.000  0.500  0.000  5.58
Se  0.250  0.750  0.500  -0.10
Cl  0.000  0.000  0.000  -0.07
Se  0.750  0.250  0.500  -0.10
Pu  0.500  0.000  0.000  5.58
Se  0.500  0.500  0.000  -0.10
Pu  0.750  0.750  0.501  5.52

Space group = I4/mmm (139)
Formation energy (no corrections) = -1.414 eV/atom
Final energy = -10.12 eV per atom
N(E_F) = 34.817 states/eV/cell


4.
# La12PrHo7

A geometry-optimized La12PrHo7 structure (PBE-GGA, Alexandria).

a = 6.380 Å, b = 11.517 Å, c = 11.517 Å
α = 116.67°, β = 100.64°, γ = 100.64°
Sites, in units of the cell vectors:
La  0.501  0.593  0.408
La  0.568  0.999  0.644
Ho  0.500  0.000  0.000
La  0.432  0.001  0.356
La  0.908  0.408  0.815
Ho  0.884  0.249  0.999
Ho  0.364  0.249  0.249
La  0.092  0.185  0.593
Ho  0.885  0.001  0.249
La  0.924  0.356  0.355
Ho  0.636  0.751  0.751
Ho  0.115  0.999  0.751
Ho  0.116  0.751  0.001
La  0.908  0.815  0.407
La  0.569  0.645  0.001
La  0.092  0.592  0.185
La  0.076  0.644  0.645
Pr  0.000  0.000  0.000
La  0.431  0.355  0.999
La  0.499  0.407  0.592

Space group = R-3 (148)
Energy of formation from the pure elements = 210 meV/atom
Final energy = -4.59 eV per atom
N(E_F) = 27.254 states/eV/cell
ΔE to the lowest computed polymorph = 78.7 meV per atom